No. 1
Compound: In2WAu
Source: Alexandria via LeMat-Bulk
Functional: meta-GGA SCAN
Structure: PBEsol geometry

POSCAR file:
```
In2WAu
1.0
-1.2557 1.1521 2.3823
3.3990 -3.3016 1.5876
2.9904 4.4492 -0.5754
W Au In
1 1 2
direct
0.0000 0.0000 0.5000 W
0.5000 0.0000 0.0000 Au
0.7510 0.5019 0.7444 In
0.2490 0.4981 0.2556 In
```

## Properties
total energy	-203.7	eV per cell
calculated formation energy	1.9	eV per formula unit
DOS(E_F)	1.8	states/eV/cell

---

No. 2
Compound: In2WAu
Source: Alexandria via LeMat-Bulk
Functional: meta-GGA SCAN
Structure: PBEsol geometry

POSCAR file:
```
In2WAu
1.0
4.7336 0.0000 0.0000
2.3668 4.0995 0.0000
2.3668 1.3665 3.8650
In Au W
2 1 1
direct
0.0000 0.0000 0.0000 In
0.2500 0.2500 0.2500 In
0.5000 0.5000 0.5000 Au
0.7500 0.7500 0.7500 W
```

## Properties
total energy	-202.4	eV per cell
calculated formation energy	3.2	eV per formula unit
DOS(E_F)	3.1	states/eV/cell

---

No. 3
Compound: In2WAu
Source: Alexandria via LeMat-Bulk
Functional: meta-GGA SCAN
Structure: PBEsol geometry

POSCAR file:
```
In2WAu
1.0
2.9540 -0.0315 0.0000
-1.1118 2.7370 0.0000
0.0000 0.0000 9.2108
In W Au
2 1 1
direct
0.0000 0.0000 0.7478 In
0.0000 0.0000 0.2522 In
0.5000 0.5000 0.5000 W
0.5000 0.5000 0.0000 Au
```

## Properties
total energy	-203.9	eV per cell
calculated formation energy	1.7	eV per formula unit
DOS(E_F)	1.5	states/eV/cell

---

No. 4
Compound: InWAu4
Source: Alexandria via LeMat-Bulk
Functional: meta-GGA SCAN
Structure: PBEsol geometry

POSCAR file:
```
InWAu4
1.0
5.3821 0.0000 0.0000
2.6911 4.6610 0.0000
2.6911 1.5537 4.3945
Au In W
4 1 1
direct
0.3747 0.3747 0.8758 Au
0.8758 0.3747 0.3747 Au
0.3747 0.8758 0.3747 Au
0.3747 0.3747 0.3747 Au
0.7500 0.7500 0.7500 In
0.0000 0.0000 0.0000 W
```

## Properties
total energy	-375.8	eV per cell
calculated formation energy	3.9	eV per formula unit
DOS(E_F)	2.4	states/eV/cell

---

No. 5
Compound: YIn2Au
Source: Alexandria via LeMat-Bulk
Functional: meta-GGA SCAN
Structure: PBEsol geometry

POSCAR file:
```
YIn2Au
1.0
4.4110 0.0000 0.0000
0.0000 4.4110 0.0000
0.0000 0.0000 4.4956
In Y Au
2 1 1
direct
0.0000 0.5000 0.0000 In
0.5000 0.0000 0.0000 In
0.5000 0.5000 0.5000 Y
0.0000 0.0000 0.5000 Au
```

## Properties
total energy	-166.3	eV per cell
calculated formation energy	-2.6	eV per formula unit
DOS(E_F)	1.8	states/eV/cell

---

No. 6
Compound: YIn3Au
Source: Alexandria via LeMat-Bulk
Functional: meta-GGA SCAN
Structure: PBEsol geometry

POSCAR file:
```
YIn3Au
1.0
-1.6521 4.1395 -3.5321
-2.2419 -3.8812 -3.5001
-4.9584 0.3756 2.7594
In Au Y
3 1 1
direct
0.0000 0.0000 0.5000 In
0.0000 0.5000 0.0000 In
0.5000 0.0000 0.0000 In
0.5000 0.5000 0.5000 Au
0.0000 0.0000 0.0000 Y
```

## Properties
total energy	-192.6	eV per cell
calculated formation energy	4.5	eV per formula unit
DOS(E_F)	7.2	states/eV/cell

---

No. 7
Compound: Y2InAu2
Source: Alexandria via LeMat-Bulk
Functional: meta-GGA SCAN
Structure: PBEsol geometry

POSCAR file:
```
Y2InAu2
1.0
-2.9272 -2.0904 -0.8364
3.4572 -2.1717 -6.6719
3.2848 -6.0714 3.6784
Y In Au
4 2 4
direct
0.5000 0.6694 0.8306 Y
0.5000 0.1694 0.6694 Y
0.5000 0.8306 0.3306 Y
0.5000 0.3306 0.1694 Y
0.0000 0.0000 0.0000 In
0.0000 0.5000 0.5000 In
0.0000 0.6283 0.1283 Au
0.0000 0.3717 0.8717 Au
0.0000 0.8717 0.6283 Au
0.0000 0.1283 0.3717 Au
```

## Properties
total energy	-465.5	eV per cell
calculated formation energy	-5.4	eV per formula unit
DOS(E_F)	6.6	states/eV/cell

---

No. 8
Compound: YIn2Au2
Source: Alexandria via LeMat-Bulk
Functional: meta-GGA SCAN
Structure: PBEsol geometry

POSCAR file:
```
YIn2Au2
1.0
-1.5947 3.1247 2.2361
-3.4530 -0.1035 -2.3179
-0.0567 -5.7130 4.0730
In Au Y
2 2 1
direct
0.2500 0.7500 0.5000 In
0.7500 0.2500 0.5000 In
0.6030 0.6030 0.2060 Au
0.3970 0.3970 0.7940 Au
0.0000 0.0000 0.0000 Y
```

## Properties
total energy	-236.3	eV per cell
calculated formation energy	-3.4	eV per formula unit
DOS(E_F)	1.8	states/eV/cell

---

No. 9
Compound: Y2In5Au3
Source: Alexandria via LeMat-Bulk
Functional: meta-GGA SCAN
Structure: PBEsol geometry

POSCAR file:
```
Y2In5Au3
1.0
-1.9956 -0.0187 -4.0044
-0.8129 -7.3145 0.4393
-10.8214 1.6762 7.8844
Y Au In
4 6 10
direct
0.6745 0.2727 0.3490 Y
0.3255 0.7727 0.6510 Y
0.0209 0.7257 0.0419 Y
0.9791 0.2257 0.9581 Y
0.2749 0.2713 0.5499 Au
0.1084 0.4781 0.2169 Au
0.5447 0.0058 0.0893 Au
0.4553 0.5058 0.9107 Au
0.8916 0.9781 0.7831 Au
0.7251 0.7713 0.4501 Au
0.5524 0.3892 0.1048 In
0.2077 0.5615 0.4154 In
0.6197 0.7353 0.2394 In
0.7923 0.0615 0.5846 In
0.4476 0.8892 0.8952 In
0.9004 0.5924 0.8008 In
0.3803 0.2353 0.7606 In
0.2057 0.9825 0.4114 In
0.7943 0.4825 0.5886 In
0.0996 0.0924 0.1992 In
```

## Properties
total energy	-874.2	eV per cell
calculated formation energy	-7.0	eV per formula unit
DOS(E_F)	6.0	states/eV/cell

---

No. 10
Compound: Y2InAu2
Source: Alexandria via LeMat-Bulk
Functional: meta-GGA SCAN
Structure: PBEsol geometry

POSCAR file:
```
Y2InAu2
1.0
5.4589 0.0000 0.0000
-2.7295 5.0394 0.0404
0.0000 2.9198 4.6125
Au In Y
2 1 2
direct
0.3505 0.7010 0.6495 Au
0.6495 0.2990 0.3505 Au
0.0000 0.0000 0.0000 In
0.7500 0.5000 0.7500 Y
0.2500 0.5000 0.2500 Y
```

## Properties
total energy	-230.9	eV per cell
calculated formation energy	-3.5	eV per formula unit
DOS(E_F)	2.4	states/eV/cell

---

No. 11
Compound: Zn2InAu2
Source: Alexandria via LeMat-Bulk
Functional: meta-GGA SCAN
Structure: PBEsol geometry

POSCAR file:
```
Zn2InAu2
1.0
2.8791 0.0000 0.0000
0.0000 7.7862 0.0000
0.0000 0.0000 7.7862
Zn Au In
4 4 2
direct
0.5000 0.1297 0.6297 Zn
0.5000 0.3703 0.1297 Zn
0.5000 0.8703 0.3703 Zn
0.5000 0.6297 0.8703 Zn
0.0000 0.8340 0.6660 Au
0.0000 0.3340 0.8340 Au
0.0000 0.6660 0.1660 Au
0.0000 0.1660 0.3340 Au
0.0000 0.5000 0.5000 In
0.0000 0.0000 0.0000 In
```

## Properties
total energy	-399.3	eV per cell
calculated formation energy	-0.9	eV per formula unit
DOS(E_F)	2.8	states/eV/cell

---

No. 12
Compound: ZnIn2Au
Source: Alexandria via LeMat-Bulk
Functional: meta-GGA SCAN
Structure: PBEsol geometry

POSCAR file:
```
ZnIn2Au
1.0
-2.9325 2.5600 1.9252
0.9895 -1.7585 3.8455
3.8792 2.4963 -2.3088
Zn In Au
1 2 1
direct
0.5000 0.5000 0.0000 Zn
0.2500 0.7500 0.5000 In
0.7500 0.2500 0.5000 In
0.0000 0.0000 0.0000 Au
```

## Properties
total energy	-149.3	eV per cell
calculated formation energy	0.1	eV per formula unit
DOS(E_F)	1.2	states/eV/cell

---

No. 13
Compound: ZnInAu
Source: Alexandria via LeMat-Bulk
Functional: meta-GGA SCAN
Structure: PBEsol geometry

POSCAR file:
```
ZnInAu
1.0
3.3714 0.0000 0.0000
0.0000 4.4161 0.0000
0.0000 -2.2080 3.8244
Zn Au In
1 1 1
direct
0.1683 0.3333 0.6667 Zn
0.1652 0.0000 0.0000 Au
0.6665 0.6667 0.3333 In
```

## Properties
total energy	-116.4	eV per cell
calculated formation energy	-0.3	eV per formula unit
DOS(E_F)	0.9	states/eV/cell

---

No. 14
Compound: Zn2InAu2
Source: Alexandria via LeMat-Bulk
Functional: meta-GGA SCAN
Structure: PBEsol geometry

POSCAR file:
```
Zn2InAu2
1.0
-3.4523 0.5173 -1.2019
-1.3052 -1.1215 3.2664
2.5429 6.4734 1.1522
Au In Zn
2 1 2
direct
0.6066 0.6066 0.2131 Au
0.3934 0.3934 0.7869 Au
0.0000 0.0000 0.0000 In
0.7500 0.2500 0.5000 Zn
0.2500 0.7500 0.5000 Zn
```

## Properties
total energy	-199.9	eV per cell
calculated formation energy	-1.1	eV per formula unit
DOS(E_F)	1.6	states/eV/cell

---

No. 15
Compound: ZnIn2Au
Source: Alexandria via LeMat-Bulk
Functional: meta-GGA SCAN
Structure: PBEsol geometry

POSCAR file:
```
ZnIn2Au
1.0
3.7922 0.0000 -0.0039
0.0000 4.2306 0.0000
-1.8570 0.0000 5.0198
Zn Au In
1 1 2
direct
0.1695 0.0000 0.4660 Zn
0.3269 0.5000 0.7766 Au
0.8996 0.0000 0.9255 In
0.6041 0.5000 0.3320 In
```

## Properties
total energy	-150.0	eV per cell
calculated formation energy	-0.6	eV per formula unit
DOS(E_F)	1.2	states/eV/cell

---

No. 16
Compound: ZnInAu
Source: Alexandria via LeMat-Bulk
Functional: meta-GGA SCAN
Structure: PBEsol geometry

POSCAR file:
```
ZnInAu
1.0
3.2149 0.0000 0.0000
-1.6075 2.7842 0.0000
0.0000 0.0000 6.3037
Au In Zn
1 1 1
direct
0.0000 0.0000 0.0183 Au
0.6667 0.3333 0.6681 In
0.3333 0.6667 0.3136 Zn
```

## Properties
total energy	-116.2	eV per cell
calculated formation energy	-0.2	eV per formula unit
DOS(E_F)	1.0	states/eV/cell

---

No. 17
Compound: Zr2InAu2
Source: Alexandria via LeMat-Bulk
Functional: meta-GGA SCAN
Structure: PBEsol geometry

POSCAR file:
```
Zr2InAu2
1.0
-1.8032 -2.4102 -1.9412
4.0702 -5.4898 3.0352
-5.0176 -0.6778 5.5028
Zr Au In
4 4 2
direct
0.5000 0.3279 0.1721 Zr
0.5000 0.6721 0.8279 Zr
0.5000 0.8279 0.3279 Zr
0.5000 0.1721 0.6721 Zr
0.0000 0.1283 0.3717 Au
0.0000 0.6283 0.1283 Au
0.0000 0.3717 0.8717 Au
0.0000 0.8717 0.6283 Au
0.0000 0.5000 0.5000 In
0.0000 0.0000 0.0000 In
```

## Properties
total energy	-473.7	eV per cell
calculated formation energy	-3.7	eV per formula unit
DOS(E_F)	5.0	states/eV/cell

---

No. 18
Compound: Zr2InAu
Source: Alexandria via LeMat-Bulk
Functional: meta-GGA SCAN
Structure: PBEsol geometry

POSCAR file:
```
Zr2InAu
1.0
-4.3220 0.1924 -0.1410
0.1059 -0.7462 -4.2625
1.8985 -3.8989 2.9275
In Zr Au
1 2 1
direct
0.5000 0.5000 0.0000 In
0.2500 0.7500 0.5000 Zr
0.7500 0.2500 0.5000 Zr
0.0000 0.0000 0.0000 Au
```

## Properties
total energy	-166.3	eV per cell
calculated formation energy	-2.3	eV per formula unit
DOS(E_F)	3.4	states/eV/cell

---

No. 19
Compound: Zr2InAu
Source: Alexandria via LeMat-Bulk
Functional: meta-GGA SCAN
Structure: PBEsol geometry

POSCAR file:
```
Zr2InAu
1.0
3.1849 0.0000 0.0000
0.0000 4.2059 0.0000
0.0000 0.0000 5.9437
In Au Zr
1 1 2
direct
0.5000 0.5000 0.5000 In
0.5000 0.5000 0.0000 Au
0.0000 0.0000 0.7581 Zr
0.0000 0.0000 0.2419 Zr
```

## Properties
total energy	-166.2	eV per cell
calculated formation energy	-2.3	eV per formula unit
DOS(E_F)	3.0	states/eV/cell

---

No. 20
Compound: Zr2InAu
Source: Alexandria via LeMat-Bulk
Functional: meta-GGA SCAN
Structure: PBEsol geometry

POSCAR file:
```
Zr2InAu
1.0
4.2836 0.0000 0.0000
0.0000 4.2836 0.0000
0.0000 0.0000 4.3172
Au In Zr
1 1 2
direct
0.5000 0.5000 0.5000 Au
0.0000 0.0000 0.5000 In
0.0000 0.5000 0.0000 Zr
0.5000 0.0000 0.0000 Zr
```

## Properties
total energy	-166.2	eV per cell
calculated formation energy	-2.3	eV per formula unit
DOS(E_F)	3.3	states/eV/cell